(1)
## PAu2Cl (PBEsol)

Data for an optimized crystal structure of PAu2Cl.

Cell: 3.371 3.371 6.802 Å, 90.00 90.00 90.00°
Space group P4mm (No. 99)
Asymmetric unit:
P (0.000, 0.000, 0.000) (multiplicity 1)
Au (0.000, 0.000, 0.361) (multiplicity 1)
Au (0.500, 0.500, 0.123) (multiplicity 1)
Cl (0.500, 0.500, 0.598) (multiplicity 1)

Values from the calculation:
The crystal system is tetragonal. As for the size of the total moment: 0.000 μB/f.u. The energy relative to the elements, uncorrected is 13.9 kJ/mol of atoms. The relative energy among the computed polymorphs comes out at 0.34 eV per formula unit.

***

(2)
## PAu3Cl (PBEsol)

Data for an optimized crystal structure of PAu3Cl.

Cell: 4.692 4.692 4.692 Å, 90.00 90.00 90.00°
Space group Pm-3m (No. 221)
Asymmetric unit:
P (0.000, 0.000, 0.000) (multiplicity 1)
Au (0.000, 0.000, 0.500) (multiplicity 3)
Cl (0.500, 0.500, 0.500) (multiplicity 1)

Values from the calculation:
The crystal system is cubic. As for the size of the total moment: 0.003 μB/f.u. The energy relative to the elements, uncorrected is 30.8 kJ/mol of atoms.

***

(3)
## PAuCl2 (PBEsol)

Data for an optimized crystal structure of PAuCl2.

Cell: 3.010 4.216 5.798 Å, 90.00 90.00 90.00°
Space group Pmmm (No. 47)
Asymmetric unit:
P (0.000, 0.000, 0.000) (multiplicity 1)
Au (0.500, 0.000, 0.500) (multiplicity 1)
Cl (0.000, 0.500, 0.500) (multiplicity 1)
Cl (0.500, 0.500, 0.000) (multiplicity 1)

Values from the calculation:
The crystal system is orthorhombic. As for the size of the total moment: 0.004 μB/f.u. The energy relative to the elements, uncorrected is 43.7 kJ/mol of atoms. The relative energy among the computed polymorphs comes out at 0.40 eV per formula unit.

***

(4)
## PAuCl2 (PBEsol)

Data for an optimized crystal structure of PAuCl2.

Cell: 7.220 7.250 2.988 Å, 90.00 90.00 90.00°
Space group Cmmm (No. 65)
Asymmetric unit:
P (0.000, 0.000, 0.000) (multiplicity 2)
Au (0.000, 0.500, 0.000) (multiplicity 2)
Cl (0.250, 0.250, 0.000) (multiplicity 4)

Values from the calculation:
The crystal system is orthorhombic. As for the size of the total moment: 0.000 μB/f.u. The energy relative to the elements, uncorrected is 34.0 kJ/mol of atoms. The relative energy among the computed polymorphs comes out at 0.00 eV per formula unit.